# 1
DFT (PBE) results for an optimized crystal structure of CeHoPb.

Crystal system ... orthorhombic
Energy relative to the lowest polymorph listed for this composition ... 0.241 eV/atom
Formation enthalpy at 0 K ... -0.1711 eV/atom

a b c (Å): 16.827 3.513 6.281
angles (deg): 90.00 90.00 90.00
Space group Pnma (No. 62)
Asymmetric unit:
Ce1 0.237 0.250 0.041
Ho1 0.066 0.750 0.784
Pb1 0.092 0.750 0.285

---

# 2
DFT (PBE) results for an optimized crystal structure of Ce4Th3Au.

Crystal system ... tetragonal
Formation enthalpy at 0 K ... -0.1362 eV/atom

a b c (Å): 3.527 3.527 18.301
angles (deg): 90.00 90.00 90.00
Space group P4/mmm (No. 123)
Asymmetric unit:
Ce1 0.000 0.000 0.107
Ce2 0.000 0.000 0.368
Th1 0.500 0.500 0.239
Th2 0.500 0.500 0.500
Au1 0.500 0.500 0.000

---

# 3
DFT (PBE) results for an optimized crystal structure of BaAcAs.

Crystal system ... trigonal
Energy relative to the lowest polymorph listed for this composition ... 0.000 eV/atom
Formation enthalpy at 0 K ... -0.8159 eV/atom

a b c (Å): 4.5267 4.5267 7.7246
angles (deg): 90.00 90.00 120.00
Space group P3m1 (No. 156)
Asymmetric unit:
Ba1 0.0000 0.0000 0.0000
Ac1 0.6667 0.3333 0.5232
As1 0.3333 0.6667 0.7369

---

# 4
DFT (PBE) results for an optimized crystal structure of Gd2TiZnO6.

Crystal system ... monoclinic
Raw formation energy ... -2.948 eV/atom

a b c (Å): 5.399 5.714 9.426
angles (deg): 90.00 124.43 90.00
Space group P2_1/c (No. 14)
Asymmetric unit:
Gd1 0.229 0.067 0.248
Ti1 0.500 0.000 0.000
Zn1 0.000 0.000 0.500
O1 0.150 0.185 0.946
O2 0.256 0.708 0.938
O3 0.372 0.041 0.759

---

# 5
DFT (PBE) results for an optimized crystal structure of ZnSb2AsRh.

Crystal system ... tetragonal
Raw formation energy ... 0.243 eV/atom

a b c (Å): 5.106 5.106 4.695
angles (deg): 90.00 90.00 90.00
Space group P4/mmm (No. 123)
Asymmetric unit:
Zn1 0.000 0.000 0.000
Sb1 0.000 0.500 0.500
As1 0.500 0.500 0.000
Rh1 0.000 0.000 0.500

---

# 6
DFT (PBE) results for an optimized crystal structure of Li2Nd2AlPt5.

Crystal system ... tetragonal
Formation enthalpy at 0 K ... -0.8821 eV/atom

a b c (Å): 9.541 9.541 3.755
angles (deg): 90.00 90.00 90.00
Space group P4/mbm (No. 127)
Asymmetric unit:
Li1 0.121 0.379 0.000
Nd1 0.179 0.679 0.000
Al1 0.000 0.000 0.000
Pt1 0.000 0.500 0.500
Pt2 0.063 0.205 0.500